# Tb3Al7Ir4

An optimized crystal structure of Tb3Al7Ir4 (PBE-GGA, Alexandria via LeMat-Bulk).

Results
Symmetry = C2/m
Electronic total energy = -6.228 eV/atom
Formation enthalpy at 0 K = -0.833 eV per atom

Structure (CIF):
```
data_Tb3Al7Ir4
_space_group_name_H-M_alt 'P 1'
_space_group_IT_number 1
_space_group_name_Hall 'P 1'
_cell_length_a 7.9870
_cell_length_b 7.9870
_cell_length_c 9.4800
_cell_angle_alpha 123.46
_cell_angle_beta 123.46
_cell_angle_gamma 30.97
loop_
_atom_site_label
_atom_site_type_symbol
_atom_site_fract_x
_atom_site_fract_y
_atom_site_fract_z
Tb1 Tb 0.0000 0.0000 0.0000
Tb2 Tb 0.3064 0.3064 0.2995
Tb3 Tb 0.6936 0.6936 0.7005
Al1 Al 0.0000 0.0000 0.5000
Al2 Al 0.1575 0.1575 0.4207
Al3 Al 0.3156 0.3156 0.9761
Al4 Al 0.4950 0.4950 0.7081
Al5 Al 0.5050 0.5050 0.2919
Al6 Al 0.6844 0.6844 0.0239
Al7 Al 0.8425 0.8425 0.5793
Ir1 Ir 0.1096 0.1096 0.8311
Ir2 Ir 0.3370 0.3370 0.7191
Ir3 Ir 0.6630 0.6630 0.2809
Ir4 Ir 0.8904 0.8904 0.1689
```

# DyPaTlZn

An optimized crystal structure of DyPaTlZn (PBE-GGA, Alexandria via LeMat-Bulk).

Results
Symmetry = F-43m
Electronic total energy = -4.382 eV/atom
Formation enthalpy at 0 K = 0.052 eV per atom

Structure (CIF):
```
data_DyPaTlZn
_space_group_name_H-M_alt 'P 1'
_space_group_IT_number 1
_space_group_name_Hall 'P 1'
_cell_length_a 7.3810
_cell_length_b 7.3810
_cell_length_c 7.3810
_cell_angle_alpha 90.00
_cell_angle_beta 90.00
_cell_angle_gamma 90.00
loop_
_atom_site_label
_atom_site_type_symbol
_atom_site_fract_x
_atom_site_fract_y
_atom_site_fract_z
Dy1 Dy 0.0000 0.0000 0.0000
Dy2 Dy 0.0000 0.5000 0.5000
Dy3 Dy 0.5000 0.0000 0.5000
Dy4 Dy 0.5000 0.5000 0.0000
Pa1 Pa 0.0000 0.0000 0.5000
Pa2 Pa 0.0000 0.5000 0.0000
Pa3 Pa 0.5000 0.0000 0.0000
Pa4 Pa 0.5000 0.5000 0.5000
Tl1 Tl 0.2500 0.2500 0.7500
Tl2 Tl 0.2500 0.7500 0.2500
Tl3 Tl 0.7500 0.2500 0.2500
Tl4 Tl 0.7500 0.7500 0.7500
Zn1 Zn 0.2500 0.2500 0.2500
Zn2 Zn 0.2500 0.7500 0.7500
Zn3 Zn 0.7500 0.2500 0.7500
Zn4 Zn 0.7500 0.7500 0.2500
```